VASP calculation (PBE-GGA) on a geometry-optimized BeHgS2 structure.

D(E_F) = 0.00 states/eV per cell
Density = 4.395 Mg/m³
Formation energy without anion corrections = -485 meV/atom
Energy relative to the lowest polymorph listed for this composition = 72 meV/atom

abc: 5.709 6.748 6.675
angles: 65.36 89.92 64.93
Positions (direct):
S  0.260  0.635  0.205
Be  0.498  0.681  0.960
S  0.216  0.727  0.715
Be  0.978  0.681  0.960
S  0.875  0.407  0.982
Hg  0.431  0.295  0.573
S  0.601  0.955  0.938
Hg  0.045  0.067  0.347